Density functional theory data (meta-GGA SCAN) for ZnMoPbBr2 at its PBEsol-relaxed geometry.

Lattice parameters (Å, degrees): 4.9422 4.9422 5.3612 90.00 90.00 90.00
With the nearest neighbours (Å) after each atom.
Atoms (fractional coordinates):
Zn 0.0000 0.0000 0.0000  4 Br 2.47, 2 Mo 2.68
Mo 0.0000 0.0000 0.5000  2 Zn 2.68
Pb 0.5000 0.5000 0.5000  4 Mo 3.49, 8 Br 3.65
Br 0.0000 0.5000 0.0000  2 Zn 2.47
Br 0.5000 0.0000 0.0000  2 Zn 2.47

Properties
Its space-group type is No. 123. The density comes out at 6.70 g cm⁻³. For the uncorrected energy, the calculation gives -2.34821 Ry/atom.